This record from Alexandria describes an optimized crystal structure of PmNd2Si2. The functional is PBE.

POSCAR file:
```
PmNd2Si2
1.0
4.414 0.000 0.000
2.207 6.237 0.167
2.207 1.209 9.714
Pm Nd Si
2 4 4
direct
0.779 0.082 0.360
0.221 0.918 0.640
0.320 0.271 0.088
0.485 0.342 0.688
0.680 0.729 0.912
0.515 0.658 0.312
0.980 0.141 0.900
0.107 0.341 0.444
0.020 0.859 0.100
0.893 0.659 0.556
```

Output
As for the symmetry: C2/m (12). Its energy above the most stable polymorph in this dataset is 0.37 eV/f.u.